VASP calculation (meta-GGA SCAN) on Be2BiAsRh at its PBEsol-relaxed geometry.

Calculated values
DOS(E_F)   2.25 states/eV per cell
Total magnetic moment   0.00 μB per atom
Density   7.77 g cm⁻³
ΔE_f   481 meV per atom

Structure (CIF):
```
data_Be2BiAsRh
_chemical_formula_sum 'Be2 Bi1 As1 Rh1'
_cell_length_a 4.210
_cell_length_b 4.210
_cell_length_c 4.884
_cell_angle_alpha 90.00
_cell_angle_beta 90.00
_cell_angle_gamma 90.00
_symmetry_space_group_name_H-M 'P 4/m m m'
_symmetry_Int_Tables_number 123
_symmetry_space_group_name_Hall '-P 4 2'
loop_
_atom_site_label
_atom_site_type_symbol
_atom_site_fract_x
_atom_site_fract_y
_atom_site_fract_z
Be1 Be 0.000 0.500 0.000
Bi1 Bi 0.000 0.000 0.500
As1 As 0.500 0.500 0.000
Rh1 Rh 0.500 0.500 0.500
```


VASP calculation (meta-GGA SCAN) on Be2AsBr at its PBEsol-relaxed geometry.

Calculated values
DOS(E_F)   7.48 states/eV per cell
Total magnetic moment   0.00 μB per atom
Density   4.44 g cm⁻³
Uncorrected formation energy   1.159 eV per atom
Offset from the most stable computed form   1.575 eV/atom

Structure (CIF):
```
data_Be2AsBr
_chemical_formula_sum 'Be8 As4 Br4'
_cell_length_a 6.370
_cell_length_b 6.370
_cell_length_c 6.370
_cell_angle_alpha 90.00
_cell_angle_beta 90.00
_cell_angle_gamma 90.00
_symmetry_space_group_name_H-M 'F -4 3 m'
_symmetry_Int_Tables_number 216
_symmetry_space_group_name_Hall 'F -4 2 3'
loop_
_atom_site_label
_atom_site_type_symbol
_atom_site_fract_x
_atom_site_fract_y
_atom_site_fract_z
Be1 Be 0.000 0.000 0.000
Be2 Be 0.250 0.250 0.250
As1 As 0.000 0.000 0.500
Br1 Br 0.250 0.250 0.750
```


VASP calculation (meta-GGA SCAN) on BeAsBr4 at its PBEsol-relaxed geometry.

Calculated values
DOS(E_F)   15.78 states/eV per cell
Total magnetic moment   0.26 μB per atom
Density   4.32 g cm⁻³
Uncorrected formation energy   1.252 eV per atom

Structure (CIF):
```
data_BeAsBr4
_chemical_formula_sum 'Be4 As4 Br16'
_cell_length_a 8.531
_cell_length_b 8.531
_cell_length_c 8.531
_cell_angle_alpha 90.00
_cell_angle_beta 90.00
_cell_angle_gamma 90.00
_symmetry_space_group_name_H-M 'F -4 3 m'
_symmetry_Int_Tables_number 216
_symmetry_space_group_name_Hall 'F -4 2 3'
loop_
_atom_site_label
_atom_site_type_symbol
_atom_site_fract_x
_atom_site_fract_y
_atom_site_fract_z
Be1 Be 0.000 0.000 0.000
As1 As 0.250 0.250 0.250
Br1 Br 0.125 0.125 0.625
```